# 1
DFT (PBE) results for PuPa2In after structural relaxation.

Cell and atoms, written as POSCAR:
```
PuPa2In
1.0
-0.4671 1.4019 -4.3099
0.1909 -4.4305 -1.4619
-4.6408 -0.3305 0.3955
Pa Pu In
2 1 1
direct
0.0000 0.0000 0.5000
0.0000 0.5000 0.0000
0.5000 0.5000 0.5000
0.5000 0.0000 0.0000
```

Values from the calculation:
**Volume**: 24.835 A^3/atom
**Total magnetic moment**: 1.540 μB per atom
**Energy above the most stable polymorph in this dataset**: 0.000 eV per atom
**Formation energy**: 0.009 eV/atom
**Raw total energy**: -9.0066 eV/atom

# 2
DFT (PBE) results for Nd7Ga2Co2 after structural relaxation.

Cell and atoms, written as POSCAR:
```
Nd7Ga2Co2
1.0
-6.6871 -1.0106 -1.1765
0.4414 -6.3147 2.9168
0.9027 2.9052 6.1537
Nd Ga Co
7 2 2
direct
0.5003 0.7453 0.9998
0.4998 0.2517 0.5002
0.5002 0.7483 0.4998
0.9998 0.2547 0.5003
0.4997 0.2547 0.0002
0.0000 0.0000 0.0000
0.0002 0.7453 0.4997
0.1608 0.5000 0.1608
0.8392 0.5000 0.8392
0.7006 0.0000 0.2994
0.2994 0.0000 0.7006
```

Values from the calculation:
**Volume**: 28.035 A^3/atom
**Total magnetic moment**: 0.000 μB per atom
**Formation energy**: -0.156 eV/atom
**Raw total energy**: -5.0322 eV/atom

# 3
DFT (PBE) results for CaLa2Se after structural relaxation.

Cell and atoms, written as POSCAR:
```
CaLa2Se
1.0
10.3605 0.0124 0.0073
9.5406 4.0396 0.0073
9.5406 1.9425 3.5419
Ca La Se
1 2 1
direct
0.7500 0.7500 0.7500
0.9770 0.9770 0.9770
0.5230 0.5230 0.5230
0.2500 0.2500 0.2500
```

Values from the calculation:
**Volume**: 36.882 A^3/atom
**Total magnetic moment**: 0.000 μB per atom
**Formation energy from raw total energies**: -850 meV/atom
**Raw total energy**: -4.6848 eV/atom

# 4
DFT (PBE) results for ZrAlI after structural relaxation.

Cell and atoms, written as POSCAR:
```
ZrAlI
1.0
-0.3113 0.7303 3.6938
-3.9928 -2.7171 2.1333
4.6794 -9.3408 2.3642
I Zr Al
2 2 2
direct
0.6820 0.8541 0.0070
0.0747 0.1100 0.3425
0.1083 0.0152 0.7934
0.6498 0.9461 0.5680
0.3729 0.4930 0.6852
0.9243 0.3997 0.5333
```

Values from the calculation:
**Volume**: 32.451 A^3/atom
**Total magnetic moment**: 0.000 μB per atom
**Formation energy from raw total energies**: -278 meV/atom
**Raw total energy**: -4.8912 eV/atom

# 5
DFT (PBE) results for Ba2LiCoC after structural relaxation.

Cell and atoms, written as POSCAR:
```
Ba2LiCoC
1.0
6.0248 0.0000 0.0000
0.0000 3.7171 0.0000
0.0000 0.0000 6.0248
Li Co C Ba
1 1 1 2
direct
0.5000 0.5000 0.5000
0.0000 0.0000 0.0000
0.0000 0.5000 0.0000
0.0000 0.0000 0.5000
0.5000 0.0000 0.0000
```

Values from the calculation:
**Volume**: 26.985 A^3/atom
**Total magnetic moment**: 0.000 μB per atom
**Formation energy**: 0.429 eV/atom
**Raw total energy**: -3.9890 eV/atom

# 6
DFT (PBE) results for Sn6GePd12 after structural relaxation.

Cell and atoms, written as POSCAR:
```
Sn6GePd12
1.0
-4.8648 -2.7305 4.7807
3.0072 -6.2506 -2.4216
5.2416 2.1766 4.6652
Pd Sn Ge
12 6 1
direct
0.0236 0.8521 0.2962
0.3789 0.8219 0.5050
0.8521 0.2962 0.0236
0.4950 0.6211 0.1781
0.2962 0.0236 0.8521
0.9764 0.1479 0.7038
0.7038 0.9764 0.1479
0.1781 0.4950 0.6211
0.1479 0.7038 0.9764
0.6211 0.1781 0.4950
0.5050 0.3789 0.8219
0.8219 0.5050 0.3789
0.2582 0.1561 0.5100
0.4900 0.7418 0.8439
0.5100 0.2582 0.1561
0.1561 0.5100 0.2582
0.8439 0.4900 0.7418
0.7418 0.8439 0.4900
0.0000 0.0000 0.0000
```

Values from the calculation:
**Volume**: 19.848 A^3/atom
**Total magnetic moment**: 0.000 μB per atom
**Formation energy**: -0.339 eV/atom
**Raw total energy**: -5.1258 eV/atom

# 7
DFT (PBE) results for Mn3BeNb2 after structural relaxation.

Cell and atoms, written as POSCAR:
```
Mn3BeNb2
1.0
4.2012 -0.1258 -2.2076
-2.6711 3.9198 -0.2016
-0.1683 0.1316 4.7783
Mn Nb Be
3 2 1
direct
0.0000 0.0000 0.5000
0.5000 0.5000 0.5000
0.5000 0.0000 0.5000
0.2496 0.6250 0.8746
0.7504 0.3750 0.1254
0.0000 0.0000 0.0000
```

Values from the calculation:
**Volume**: 12.752 A^3/atom
**Total magnetic moment**: 0.084 μB per atom
**Formation energy**: -0.185 eV/atom
**Raw total energy**: -8.7476 eV/atom

# 8
DFT (PBE) results for NaMoI2 after structural relaxation.

Cell and atoms, written as POSCAR:
```
NaMoI2
1.0
-2.6465 3.0416 -5.4373
-1.0833 -6.0422 -2.8526
-8.5763 -1.7684 -1.0284
I Mo Na
4 2 2
direct
0.6465 0.1250 0.2500
0.1035 0.6250 0.2500
0.3750 0.3535 0.7500
0.8750 0.8965 0.7500
0.0000 0.0000 0.0000
0.7500 0.2500 0.5000
0.2500 0.7500 0.5000
0.5000 0.5000 0.0000
```

Values from the calculation:
**Volume**: 42.409 A^3/atom
**Total magnetic moment**: 1.250 μB per atom
**Energy above the most stable polymorph in this dataset**: 0.000 eV per atom
**Formation energy from raw total energies**: 168 meV/atom
**Raw total energy**: -3.6450 eV/atom

# 9
DFT (PBE) results for MgCdPb6 after structural relaxation.

Cell and atoms, written as POSCAR:
```
MgCdPb6
1.0
4.7697 0.0000 0.0000
0.0000 7.0240 -0.0399
0.0000 0.0494 7.0239
Pb Mg Cd
6 1 1
direct
0.0000 0.7508 0.7508
0.5000 0.5000 0.0000
0.5000 0.0000 0.5000
0.0000 0.2492 0.2492
0.0000 0.2495 0.7505
0.0000 0.7505 0.2495
0.5000 0.0000 0.0000
0.5000 0.5000 0.5000
```

Values from the calculation:
**Volume**: 29.416 A^3/atom
**Total magnetic moment**: 0.000 μB per atom
**Energy above the most stable polymorph in this dataset**: 0.000 eV per atom
**Formation energy**: 0.013 eV/atom
**Raw total energy**: -3.0819 eV/atom

# 10
DFT (PBE) results for PPt2Se after structural relaxation.

Cell and atoms, written as POSCAR:
```
PPt2Se
1.0
-1.6587 2.2351 4.3950
1.6587 -2.2351 4.3950
1.6587 2.2351 -4.3950
P Se Pt
1 1 2
direct
0.2283 0.7283 0.5000
0.4971 0.4971 0.0000
0.7519 0.2519 0.5000
0.0226 0.0226 0.0000
```

Values from the calculation:
**Volume**: 16.294 A^3/atom
**Total magnetic moment**: 0.000 μB per atom
**Energy above the most stable polymorph in this dataset**: 0.475 eV per atom
**Formation energy from raw total energies**: 193 meV/atom
**Raw total energy**: -5.0507 eV/atom

# 11
DFT (PBE) results for MgTlCrSe2 after structural relaxation.

Cell and atoms, written as POSCAR:
```
MgTlCrSe2
1.0
-3.1694 2.9820 3.4727
-3.3373 0.8705 -3.7934
-2.7960 -4.6055 1.4029
Se Tl Mg Cr
2 1 1 1
direct
0.0000 0.0000 0.5000
0.5000 0.0000 0.0000
0.0000 0.0000 0.0000
0.0000 0.5000 0.0000
0.5000 0.5000 0.5000
```

Values from the calculation:
**Volume**: 31.784 A^3/atom
**Total magnetic moment**: 0.939 μB per atom
**Formation energy from raw total energies**: 799 meV/atom
**Raw total energy**: -3.3121 eV/atom

# 12
DFT (PBE) results for TbCeAlPd after structural relaxation.

Cell and atoms, written as POSCAR:
```
TbCeAlPd
1.0
-1.3742 -3.4605 3.5229
1.7904 -4.7947 -0.2823
3.4253 -1.6630 3.4317
Tb Al Ce Pd
1 1 1 1
direct
0.2500 0.2500 0.2500
0.5000 0.5000 0.5000
0.7500 0.7500 0.7500
0.0000 0.0000 0.0000
```

Values from the calculation:
**Volume**: 23.808 A^3/atom
**Total magnetic moment**: 0.156 μB per atom
**Formation energy**: -0.444 eV/atom
**Raw total energy**: -5.3187 eV/atom

- Number 6 is which compound?
  Sn6GePd12

- Among the records above, which one has the highest total magnetic moment?
  PuPa2In

- What is the raw total energy in the first record?
  -9.0066 eV/atom

Please write out number 6 again, unchanged.
DFT (PBE) results for Sn6GePd12 after structural relaxation.

Cell and atoms, written as POSCAR:
```
Sn6GePd12
1.0
-4.8648 -2.7305 4.7807
3.0072 -6.2506 -2.4216
5.2416 2.1766 4.6652
Pd Sn Ge
12 6 1
direct
0.0236 0.8521 0.2962
0.3789 0.8219 0.5050
0.8521 0.2962 0.0236
0.4950 0.6211 0.1781
0.2962 0.0236 0.8521
0.9764 0.1479 0.7038
0.7038 0.9764 0.1479
0.1781 0.4950 0.6211
0.1479 0.7038 0.9764
0.6211 0.1781 0.4950
0.5050 0.3789 0.8219
0.8219 0.5050 0.3789
0.2582 0.1561 0.5100
0.4900 0.7418 0.8439
0.5100 0.2582 0.1561
0.1561 0.5100 0.2582
0.8439 0.4900 0.7418
0.7418 0.8439 0.4900
0.0000 0.0000 0.0000
```

Values from the calculation:
**Volume**: 19.848 A^3/atom
**Total magnetic moment**: 0.000 μB per atom
**Formation energy**: -0.339 eV/atom
**Raw total energy**: -5.1258 eV/atom